Record 1
Cs2SnSe4 (PBE, optimized geometry); E_form (uncorrected) = -0.586 eV per atom; calculated density = 4.4 g cm⁻³; space group = P2/m; calculated total energy = -23.75 eV/cell
1.0
3.9843 0.0000 0.0000
0.0000 8.1902 0.5291
0.0000 -3.1354 7.9859
Se Cs Sn
4 2 1
direct
0.0000 0.4614 0.1359
0.5000 0.9762 0.8381
0.5000 0.1666 0.3047
0.0000 0.6814 0.0071
0.5000 0.3683 0.7462
0.5000 0.7746 0.3968
0.0000 0.0713 0.0714

Record 2
Ca2AlAs (PBE, optimized geometry); calculated density = 3.0 g cm⁻³; energy above the lowest structure with this stoichiometry = 593 meV/atom; space group = F-43m; E_form = -0.093 eV/atom; calculated total energy = -12.77 eV/cell
1.0
5.2490 0.0000 0.0000
2.6245 4.5458 0.0000
2.6245 1.5153 4.2858
Ca As Al
2 1 1
direct
0.2500 0.2500 0.2500
0.0000 0.0000 0.0000
0.7500 0.7500 0.7500
0.5000 0.5000 0.5000